# 1
The following is a PBE calculation of a relaxed structure of AcCu2Ni4Ge, from Alexandria.

Magnetic moment ... 0.00 μB per formula unit
Calculated volume ... 121.8 Å³/cell
Crystal system ... trigonal
E_form ... -0.157 eV per atom

Cell and atoms, written as CIF:
```
data_AcCu2Ni4Ge
_cell_length_a 8.842
_cell_length_b 8.842
_cell_length_c 8.842
_cell_angle_alpha 26.55
_cell_angle_beta 26.55
_cell_angle_gamma 26.55
_symmetry_space_group_name_H-M 'P 1'
_symmetry_Int_Tables_number 1
_symmetry_space_group_name_Hall 'P 1'
loop_
_atom_site_label
_atom_site_type_symbol
_atom_site_fract_x
_atom_site_fract_y
_atom_site_fract_z
Ac1 Ac 0.000 0.000 0.000
Cu1 Cu 0.237 0.237 0.237
Cu2 Cu 0.763 0.763 0.763
Ni1 Ni 0.134 0.134 0.134
Ni2 Ni 0.410 0.410 0.410
Ni3 Ni 0.590 0.590 0.590
Ni4 Ni 0.866 0.866 0.866
Ge1 Ge 0.500 0.500 0.500
```

---

# 2
The following is a PBE calculation of a relaxed structure of Ac3CuGe2O9, from Alexandria.

Magnetic moment ... 0.18 μB per formula unit
Calculated volume ... 191.8 Å³/cell
Energy relative to the elements, uncorrected ... -2.360 eV per atom
Crystal system ... trigonal

Cell and atoms, written as CIF:
```
data_Ac3CuGe2O9
_cell_length_a 5.641
_cell_length_b 5.641
_cell_length_c 6.962
_cell_angle_alpha 90.00
_cell_angle_beta 90.00
_cell_angle_gamma 120.00
_symmetry_space_group_name_H-M 'P 1'
_symmetry_Int_Tables_number 1
_symmetry_space_group_name_Hall 'P 1'
loop_
_atom_site_label
_atom_site_type_symbol
_atom_site_fract_x
_atom_site_fract_y
_atom_site_fract_z
Ac1 Ac 0.000 0.000 0.000
Ac2 Ac 0.333 0.667 0.658
Ac3 Ac 0.667 0.333 0.342
Cu1 Cu 0.000 0.000 0.500
Ge1 Ge 0.333 0.667 0.170
Ge2 Ge 0.667 0.333 0.830
O1 O 0.000 0.500 0.000
O2 O 0.173 0.347 0.319
O3 O 0.173 0.827 0.319
O4 O 0.347 0.173 0.681
O5 O 0.500 0.000 0.000
O6 O 0.500 0.500 0.000
O7 O 0.653 0.827 0.319
O8 O 0.827 0.173 0.681
O9 O 0.827 0.653 0.681
```

---

# 3
The following is a PBE calculation of a relaxed structure of Ac2CuGeO6, from Alexandria.

Magnetic moment ... 0.00 μB per formula unit
Calculated volume ... 125.9 Å³/cell
Energy relative to the elements, uncorrected ... -2.317 eV per atom
Crystal system ... tetragonal

Cell and atoms, written as CIF:
```
data_Ac2CuGeO6
_cell_length_a 5.657
_cell_length_b 5.657
_cell_length_c 3.933
_cell_angle_alpha 90.00
_cell_angle_beta 90.00
_cell_angle_gamma 90.00
_symmetry_space_group_name_H-M 'P 1'
_symmetry_Int_Tables_number 1
_symmetry_space_group_name_Hall 'P 1'
loop_
_atom_site_label
_atom_site_type_symbol
_atom_site_fract_x
_atom_site_fract_y
_atom_site_fract_z
Ac1 Ac 0.000 0.500 0.000
Ac2 Ac 0.500 0.000 0.000
Cu1 Cu 0.000 0.000 0.500
Ge1 Ge 0.500 0.500 0.500
O1 O 0.000 0.000 0.000
O2 O 0.264 0.264 0.500
O3 O 0.264 0.736 0.500
O4 O 0.500 0.500 0.000
O5 O 0.736 0.264 0.500
O6 O 0.736 0.736 0.500
```

---

Q: Which of these has the highest magnetic moment?
A: Ac3CuGe2O9

---

Copy entry 1 word for word.
The following is a PBE calculation of a relaxed structure of AcCu2Ni4Ge, from Alexandria.

Magnetic moment ... 0.00 μB per formula unit
Calculated volume ... 121.8 Å³/cell
Crystal system ... trigonal
E_form ... -0.157 eV per atom

Cell and atoms, written as CIF:
```
data_AcCu2Ni4Ge
_cell_length_a 8.842
_cell_length_b 8.842
_cell_length_c 8.842
_cell_angle_alpha 26.55
_cell_angle_beta 26.55
_cell_angle_gamma 26.55
_symmetry_space_group_name_H-M 'P 1'
_symmetry_Int_Tables_number 1
_symmetry_space_group_name_Hall 'P 1'
loop_
_atom_site_label
_atom_site_type_symbol
_atom_site_fract_x
_atom_site_fract_y
_atom_site_fract_z
Ac1 Ac 0.000 0.000 0.000
Cu1 Cu 0.237 0.237 0.237
Cu2 Cu 0.763 0.763 0.763
Ni1 Ni 0.134 0.134 0.134
Ni2 Ni 0.410 0.410 0.410
Ni3 Ni 0.590 0.590 0.590
Ni4 Ni 0.866 0.866 0.866
Ge1 Ge 0.500 0.500 0.500
```

---

Q: What is the calculated volume in the third record?
A: 125.9 Å³/cell

---

Q: Which value of calculated volume does entry 2 give?
A: 191.8 Å³/cell